# NiMoO2F (GGA-PBEsol, optimized geometry)
# Total magnetic moment: 0.183 μB/atom
# Formation energy from raw total energies: -0.942 eV per atom
# Fermi-level density of states: 8.91 states/eV per cell
data_NiMoO2F
_space_group_name_H-M_alt 'P 4/m m m'
_space_group_IT_number 123
_space_group_name_Hall '-P 4 2'
_cell_length_a 3.8069
_cell_length_b 3.8069
_cell_length_c 4.0909
_cell_angle_alpha 90.00
_cell_angle_beta 90.00
_cell_angle_gamma 90.00
loop_
_atom_site_label
_atom_site_type_symbol
_atom_site_fract_x
_atom_site_fract_y
_atom_site_fract_z
Ni1 Ni 0.0000 0.0000 0.0000
Mo1 Mo 0.5000 0.5000 0.5000
O1 O 0.0000 0.5000 0.5000
F1 F 0.5000 0.5000 0.0000